one:
The following is a DFT calculation (PBE-GGA) of an optimized crystal structure of Pr3AlNi3.

Output
D(E_F): 6.76 states/eV/f.u.
size of the total moment: 0.0 Bohr magnetons per cell

a b c (Å): 5.9014 5.9014 5.9014
angles (deg): 110.19 110.19 110.19
Closest atoms and distances in Å follow each position.
Element x y z (fractional)
Pr (0.0588, 0.4706, 0.4706)  6 Ni 2.83-3.10
Pr (0.4706, 0.0588, 0.4706)  6 Ni 2.83-3.10
Pr (0.4706, 0.4706, 0.0588)  6 Ni 2.83-3.10
Al (0.8029, 0.8029, 0.8029)  3 Ni 2.46
Ni (0.5372, 0.9767, 0.9767)  1 Al 2.46
Ni (0.9767, 0.5372, 0.9767)  1 Al 2.46
Ni (0.9767, 0.9767, 0.5372)  1 Al 2.46

two:
The following is a DFT calculation (PBE-GGA) of an optimized crystal structure of Pr3AlNi3.

Output
D(E_F): 5.69 states/eV/f.u.
size of the total moment: 0.0 Bohr magnetons per cell

a b c (Å): 5.6990 5.6990 13.6659
angles (deg): 90.00 90.00 137.96
Closest atoms and distances in Å follow each position.
Element x y z (fractional)
Pr (0.0013, 0.9987, 0.7500)  7 Ni 2.91-3.25
Pr (0.2799, 0.7201, 0.1050)  6 Ni 2.99-3.09, 1 Al 3.31
Pr (0.2799, 0.7201, 0.3950)  6 Ni 2.99-3.09, 1 Al 3.31
Pr (0.7201, 0.2799, 0.6050)  6 Ni 2.99-3.09, 1 Al 3.31
Pr (0.7201, 0.2799, 0.8950)  6 Ni 2.99-3.09, 1 Al 3.31
Pr (0.9987, 0.0013, 0.2500)  7 Ni 2.91-3.25
Al (0.0000, 0.0000, 0.0000)  4 Ni 2.48
Al (0.0000, 0.0000, 0.5000)  4 Ni 2.48
Ni (0.3069, 0.6931, 0.7500)  2 Ni 2.58
Ni (0.4306, 0.5694, 0.5872)  2 Al 2.48, 1 Ni 2.58
Ni (0.4306, 0.5694, 0.9128)  2 Al 2.48, 1 Ni 2.58
Ni (0.5694, 0.4306, 0.0872)  2 Al 2.48, 1 Ni 2.58
Ni (0.5694, 0.4306, 0.4128)  2 Al 2.48, 1 Ni 2.58
Ni (0.6931, 0.3069, 0.2500)  2 Ni 2.58

Quick one: most stable of them? two

one:
The following is a DFT calculation (PBE-GGA) of an optimized crystal structure of PrAlNi4.

Output
D(E_F): 4.32 states/eV/f.u.
size of the total moment: 0.0 Bohr magnetons per cell

a b c (Å): 7.1328 3.7650 6.8392
angles (deg): 90.00 90.00 90.00
Closest atoms and distances in Å follow each position.
Element x y z (fractional)
Pr (0.2500, 0.0000, 0.1444)  8 Ni 2.88-3.02, 1 Al 2.98
Pr (0.7500, 0.0000, 0.8556)  8 Ni 2.88-3.02, 1 Al 2.98
Al (0.2500, 0.0000, 0.7084)  8 Ni 2.28-2.52
Al (0.7500, 0.0000, 0.2916)  8 Ni 2.28-2.52
Ni (0.0000, 0.0000, 0.5000)  2 Al 2.28
Ni (0.0514, 0.5000, 0.7680)  2 Al 2.39, 4 Ni 2.52-2.67
Ni (0.2500, 0.5000, 0.4637)  8 Ni 2.52-2.67, 2 Al 2.52
Ni (0.4486, 0.5000, 0.7680)  2 Al 2.39, 4 Ni 2.52-2.67
Ni (0.5000, 0.0000, 0.5000)  2 Al 2.28
Ni (0.5514, 0.5000, 0.2320)  2 Al 2.39, 4 Ni 2.52-2.67
Ni (0.7500, 0.5000, 0.5363)  8 Ni 2.52-2.67, 2 Al 2.52
Ni (0.9486, 0.5000, 0.2320)  2 Al 2.39, 4 Ni 2.52-2.67

two:
The following is a DFT calculation (PBE-GGA) of an optimized crystal structure of PrAlNi4.

Output
D(E_F): 3.57 states/eV/f.u.
size of the total moment: 0.0 Bohr magnetons per cell

a b c (Å): 4.9887 4.9887 4.0446
angles (deg): 90.00 90.00 117.83
Closest atoms and distances in Å follow each position.
Element x y z (fractional)
Pr (0.0000, 0.0000, 0.0000)  6 Ni 2.84-2.95
Al (0.5000, 0.5000, 0.5000)  8 Ni 2.48-2.49
Ni (0.0000, 0.5000, 0.5000)  2 Al 2.49, 6 Ni 2.50-2.58
Ni (0.3329, 0.6671, 0.0000)  2 Al 2.48, 4 Ni 2.50
Ni (0.5000, 0.0000, 0.5000)  2 Al 2.49, 6 Ni 2.50-2.58
Ni (0.6671, 0.3329, 0.0000)  2 Al 2.48, 4 Ni 2.50

three:
The following is a DFT calculation (PBE-GGA) of an optimized crystal structure of PrAlNi4.

Output
D(E_F): 3.25 states/eV/f.u.
size of the total moment: 0.0 Bohr magnetons per cell

a b c (Å): 4.9831 4.9831 4.9831
angles (deg): 60.00 60.00 60.00
Closest atoms and distances in Å follow each position.
Element x y z (fractional)
Pr (0.0000, 0.0000, 0.0000)  12 Ni 2.93, 4 Al 3.05
Al (0.7500, 0.7500, 0.7500)  12 Ni 2.92, 4 Pr 3.05
Ni (0.3770, 0.3770, 0.3770)  6 Ni 2.45-2.53
Ni (0.3770, 0.3770, 0.8690)  6 Ni 2.45-2.53
Ni (0.3770, 0.8690, 0.3770)  6 Ni 2.45-2.53
Ni (0.8690, 0.3770, 0.3770)  6 Ni 2.45-2.53

Quick one: most stable of them? two

one:
The following is a DFT calculation (PBE-GGA) of an optimized crystal structure of PrAl2Ni2.

Output
D(E_F): 3.07 states/eV/f.u.
size of the total moment: 0.0 Bohr magnetons per cell

a b c (Å): 5.3215 5.3215 4.6149
angles (deg): 106.16 106.16 46.01
Closest atoms and distances in Å follow each position.
Element x y z (fractional)
Pr (0.0000, 0.0000, 0.0000)  6 Ni 2.84-3.06
Al (0.3454, 0.3454, 0.4077)  4 Ni 2.42-2.47
Al (0.6546, 0.6546, 0.5923)  4 Ni 2.42-2.47
Ni (0.2593, 0.2593, 0.8465)  4 Al 2.42-2.47, 2 Ni 2.55
Ni (0.7407, 0.7407, 0.1535)  4 Al 2.42-2.47, 2 Ni 2.55

two:
The following is a DFT calculation (PBE-GGA) of an optimized crystal structure of PrAl2Ni2.

Output
D(E_F): 2.72 states/eV/f.u.
size of the total moment: 0.0 Bohr magnetons per cell

a b c (Å): 5.5100 5.5100 7.3417
angles (deg): 101.19 101.19 118.86
Closest atoms and distances in Å follow each position.
Element x y z (fractional)
Pr (0.1253, 0.8747, 0.7500)  2 Ni 2.87, 4 Al 3.18-3.19
Pr (0.8747, 0.1253, 0.2500)  2 Ni 2.87, 4 Al 3.18-3.19
Al (0.2633, 0.5131, 0.0272)  4 Ni 2.40-2.41
Al (0.4869, 0.7367, 0.4728)  4 Ni 2.40-2.41
Al (0.5131, 0.2633, 0.5272)  4 Ni 2.40-2.41
Al (0.7367, 0.4869, 0.9728)  4 Ni 2.40-2.41
Ni (0.1777, 0.8223, 0.2500)  4 Al 2.40-2.41
Ni (0.4275, 0.5725, 0.7500)  4 Al 2.40-2.41
Ni (0.5725, 0.4275, 0.2500)  4 Al 2.40-2.41
Ni (0.8223, 0.1777, 0.7500)  4 Al 2.40-2.41

Quick one: most stable of them? one

one:
The following is a DFT calculation (PBE-GGA) of an optimized crystal structure of AlNiPt4.

Output
D(E_F): 8.20 states/eV/f.u.
size of the total moment: 2.3 Bohr magnetons per cell

a b c (Å): 8.9856 8.9856 5.3467
angles (deg): 90.00 90.00 151.69
Closest atoms and distances in Å follow each position.
Element x y z (fractional)
Al (0.0744, 0.9256, 0.7500)  7 Pt 2.40-2.68
Al (0.9256, 0.0744, 0.2500)  7 Pt 2.40-2.68
Ni (0.3482, 0.6518, 0.7500)  10 Pt 2.67-2.88
Ni (0.6518, 0.3482, 0.2500)  10 Pt 2.67-2.88
Pt (0.0632, 0.9368, 0.2500)  3 Al 2.40-2.68
Pt (0.2019, 0.7981, 0.0020)  1 Al 2.60, 8 Pt 2.65-2.90, 3 Ni 2.71-2.88
Pt (0.2019, 0.7981, 0.4980)  1 Al 2.60, 8 Pt 2.65-2.90, 3 Ni 2.71-2.88
Pt (0.3501, 0.6499, 0.2500)  2 Al 2.56, 2 Ni 2.67, 4 Pt 2.73
Pt (0.6499, 0.3501, 0.7500)  2 Al 2.56, 2 Ni 2.67, 4 Pt 2.73
Pt (0.7981, 0.2019, 0.5020)  1 Al 2.60, 8 Pt 2.65-2.90, 3 Ni 2.71-2.88
Pt (0.7981, 0.2019, 0.9980)  1 Al 2.60, 8 Pt 2.65-2.90, 3 Ni 2.71-2.88
Pt (0.9368, 0.0632, 0.7500)  3 Al 2.40-2.68

two:
The following is a DFT calculation (PBE-GGA) of an optimized crystal structure of AlNiPt4.

Output
D(E_F): 5.57 states/eV/f.u.
size of the total moment: 0.0 Bohr magnetons per cell

a b c (Å): 5.2089 5.2089 5.2089
angles (deg): 60.00 60.00 60.00
Closest atoms and distances in Å follow each position.
Element x y z (fractional)
Al (0.0000, 0.0000, 0.0000)  12 Pt 3.05, 4 Ni 3.19
Ni (0.7500, 0.7500, 0.7500)  12 Pt 3.05, 4 Al 3.19
Pt (0.3752, 0.3752, 0.3752)  6 Pt 2.60-2.61
Pt (0.3752, 0.3752, 0.8744)  6 Pt 2.60-2.61
Pt (0.3752, 0.8744, 0.3752)  6 Pt 2.60-2.61
Pt (0.8744, 0.3752, 0.3752)  6 Pt 2.60-2.61

Quick one: most stable of them? one

one:
The following is a DFT calculation (PBE-GGA) of an optimized crystal structure of AlNi3Pt.

Output
D(E_F): 8.83 states/eV/f.u.
size of the total moment: 1.0 Bohr magnetons per cell

a b c (Å): 4.8807 4.8807 5.0045
angles (deg): 119.94 119.94 60.08
Closest atoms and distances in Å follow each position.
Element x y z (fractional)
Al (0.0000, 0.0000, 0.0000)  6 Ni 2.44, 2 Pt 2.50
Ni (0.0000, 0.5000, 0.0000)  4 Ni 2.44, 2 Al 2.44, 2 Pt 2.47
Ni (0.5000, 0.0000, 0.0000)  4 Ni 2.44, 2 Al 2.44, 2 Pt 2.47
Ni (0.5000, 0.5000, 0.0000)  4 Ni 2.44, 2 Al 2.44
Pt (0.0000, 0.0000, 0.5000)  4 Ni 2.47, 2 Al 2.50

two:
The following is a DFT calculation (PBE-GGA) of an optimized crystal structure of AlNi3Pt.

Output
D(E_F): 7.52 states/eV/f.u.
size of the total moment: 2.6 Bohr magnetons per cell

a b c (Å): 4.5807 4.5807 4.5807
angles (deg): 90.00 90.00 90.00
Closest atoms and distances in Å follow each position.
Element x y z (fractional)
Al (0.0000, 0.0000, 0.0000)  12 Ni 3.24
Ni (0.0000, 0.5000, 0.5000)  2 Pt 2.29
Ni (0.5000, 0.0000, 0.5000)  2 Pt 2.29
Ni (0.5000, 0.5000, 0.0000)  2 Pt 2.29
Pt (0.5000, 0.5000, 0.5000)  6 Ni 2.29

Quick one: most stable of them? one

one:
The following is a DFT calculation (PBE-GGA) of an optimized crystal structure of Al2NiPt3.

Output
D(E_F): 3.87 states/eV/f.u.
size of the total moment: 0.0 Bohr magnetons per cell

a b c (Å): 6.7777 6.7777 6.7777
angles (deg): 116.25 83.65 131.94
Closest atoms and distances in Å follow each position.
Element x y z (fractional)
Al (0.1399, 0.2174, 0.3573)  1 Ni 2.47, 6 Pt 2.51-2.57
Al (0.3601, 0.7174, 0.0774)  1 Ni 2.47, 6 Pt 2.51-2.57
Al (0.6399, 0.2826, 0.9226)  1 Ni 2.47, 6 Pt 2.51-2.57
Al (0.8601, 0.7826, 0.6427)  1 Ni 2.47, 6 Pt 2.51-2.57
Ni (0.0000, 0.5000, 0.5000)  2 Al 2.47, 4 Pt 2.59, 2 Ni 2.76
Ni (0.5000, 0.0000, 0.5000)  2 Al 2.47, 4 Pt 2.59, 2 Ni 2.76
Pt (0.0331, 0.7500, 0.2831)  4 Al 2.53-2.57, 2 Ni 2.59, 2 Pt 2.76
Pt (0.2500, 0.2500, 0.0000)  4 Al 2.51, 2 Pt 2.76
Pt (0.4669, 0.7500, 0.7169)  4 Al 2.53-2.57, 2 Ni 2.59, 2 Pt 2.76
Pt (0.5331, 0.2500, 0.2831)  4 Al 2.53-2.57, 2 Ni 2.59, 2 Pt 2.76
Pt (0.7500, 0.7500, 0.0000)  4 Al 2.51, 2 Pt 2.76
Pt (0.9669, 0.2500, 0.7169)  4 Al 2.53-2.57, 2 Ni 2.59, 2 Pt 2.76

two:
The following is a DFT calculation (PBE-GGA) of an optimized crystal structure of Al2NiPt3.

Output
D(E_F): 3.74 states/eV/f.u.
size of the total moment: 0.0 Bohr magnetons per cell

a b c (Å): 7.4046 7.4046 7.4046
angles (deg): 138.59 60.45 138.00
Closest atoms and distances in Å follow each position.
Element x y z (fractional)
Al (0.1323, 0.2498, 0.3821)  6 Pt 2.46-2.71, 2 Ni 2.52
Al (0.3677, 0.7498, 0.1176)  6 Pt 2.46-2.71, 2 Ni 2.52
Al (0.6323, 0.2502, 0.8824)  6 Pt 2.46-2.71, 2 Ni 2.52
Al (0.8677, 0.7502, 0.6179)  6 Pt 2.46-2.71, 2 Ni 2.52
Ni (0.2500, 0.2500, 0.0000)  4 Al 2.52, 2 Pt 2.62, 2 Ni 2.65
Ni (0.7500, 0.7500, 0.0000)  4 Al 2.52, 2 Pt 2.62, 2 Ni 2.65
Pt (0.1759, 0.7728, 0.9487)  4 Al 2.46-2.71
Pt (0.2500, 0.7500, 0.5000)  4 Al 2.52, 2 Ni 2.62, 2 Pt 2.65
Pt (0.3241, 0.2728, 0.5969)  4 Al 2.46-2.71
Pt (0.6759, 0.7272, 0.4031)  4 Al 2.46-2.71
Pt (0.7500, 0.2500, 0.5000)  4 Al 2.52, 2 Ni 2.62, 2 Pt 2.65
Pt (0.8241, 0.2272, 0.0513)  4 Al 2.46-2.71

Quick one: most stable of them? two

one:
The following is a DFT calculation (PBE-GGA) of an optimized crystal structure of Al3NiPt.

Output
D(E_F): 3.35 states/eV/f.u.
size of the total moment: 0.2 Bohr magnetons per cell

a b c (Å): 4.6913 4.6913 4.6913
angles (deg): 90.00 90.00 90.00
Closest atoms and distances in Å follow each position.
Element x y z (fractional)
Al (0.0000, 0.0000, 0.5000)  2 Pt 2.35
Al (0.0000, 0.5000, 0.0000)  2 Pt 2.35
Al (0.5000, 0.0000, 0.0000)  2 Pt 2.35
Ni (0.5000, 0.5000, 0.5000)  12 Al 3.32
Pt (0.0000, 0.0000, 0.0000)  6 Al 2.35

two:
The following is a DFT calculation (PBE-GGA) of an optimized crystal structure of Al3NiPt.

Output
D(E_F): 2.28 states/eV/f.u.
size of the total moment: 0.0 Bohr magnetons per cell

a b c (Å): 4.3860 4.3860 4.3860
angles (deg): 90.00 90.00 90.00
Closest atoms and distances in Å follow each position.
Element x y z (fractional)
Al (0.0000, 0.0000, 0.5000)  2 Ni 2.19
Al (0.0000, 0.5000, 0.0000)  2 Ni 2.19
Al (0.5000, 0.0000, 0.0000)  2 Ni 2.19
Ni (0.0000, 0.0000, 0.0000)  6 Al 2.19
Pt (0.5000, 0.5000, 0.5000)  12 Al 3.10

Quick one: most stable of them? two

one:
The following is a DFT calculation (PBE-GGA) of an optimized crystal structure of Al2Re2Ni.

Output
D(E_F): 3.53 states/eV/f.u.
size of the total moment: 0.0 Bohr magnetons per cell

a b c (Å): 5.9532 5.9532 3.9137
angles (deg): 90.00 90.00 90.00
Closest atoms and distances in Å follow each position.
Element x y z (fractional)
Al (0.1422, 0.3578, 0.0000)  2 Ni 2.29, 1 Al 2.39, 2 Re 2.51
Al (0.3578, 0.8578, 0.0000)  2 Ni 2.29, 1 Al 2.39, 2 Re 2.51
Al (0.6422, 0.1422, 0.0000)  2 Ni 2.29, 1 Al 2.39, 2 Re 2.51
Al (0.8578, 0.6422, 0.0000)  2 Ni 2.29, 1 Al 2.39, 2 Re 2.51
Re (0.1716, 0.6716, 0.5000)  6 Al 2.51-2.71
Re (0.3284, 0.1716, 0.5000)  6 Al 2.51-2.71
Re (0.6716, 0.8284, 0.5000)  6 Al 2.51-2.71
Re (0.8284, 0.3284, 0.5000)  6 Al 2.51-2.71
Ni (0.0000, 0.0000, 0.0000)  4 Al 2.29
Ni (0.5000, 0.5000, 0.0000)  4 Al 2.29

two:
The following is a DFT calculation (PBE-GGA) of an optimized crystal structure of Al2Re2Ni.

Output
D(E_F): 3.30 states/eV/f.u.
size of the total moment: 0.0 Bohr magnetons per cell

a b c (Å): 7.1078 7.1078 7.1078
angles (deg): 151.23 151.23 41.13
Closest atoms and distances in Å follow each position.
Element x y z (fractional)
Al (0.0956, 0.0956, 0.0000)  1 Al 2.55, 4 Re 2.71, 4 Ni 2.80
Al (0.9044, 0.9044, 0.0000)  1 Al 2.55, 4 Re 2.71, 4 Ni 2.80
Re (0.2500, 0.7500, 0.5000)  4 Re 2.50, 4 Al 2.71
Re (0.7500, 0.2500, 0.5000)  4 Re 2.50, 4 Al 2.71
Ni (0.5000, 0.5000, 0.0000)  8 Al 2.80

Quick one: most stable of them? one